Material: Tl2NiPb
Method: DFT, GGA-PBE
State: relaxed

```
Tl2NiPb
1.0
3.973 0.000 0.000
0.000 4.704 0.000
0.000 0.000 5.388
Tl Ni Pb
2 1 1
Direct
0.000 0.000 0.000
0.500 0.500 0.000
0.000 0.500 0.500
0.500 0.000 0.500
```

## Properties
**SG**: No. 47
**Energy of formation from the pure elements**: 417 meV per atom
**Energy above the lowest structure with this stoichiometry**: 25.2 kJ/mol of atoms